Density functional theory data (GGA+U) for a relaxed SrCoPO2 crystal.

Lattice parameters (Å, degrees): 4.3823 4.3823 6.6328 90.00 90.00 90.00
Each line ends with the local moment (μB).
Positions (direct):
Sr1 0.0000 0.0000 0.0000  0.08
Co1 0.5000 0.5000 0.5000  2.44
O1 0.0000 0.5000 0.0000  0.79
O2 0.5000 0.0000 0.0000  0.79
P1 0.0000 0.0000 0.5000  0.47

## Properties
Total magnetization (μB per formula unit): 5.6
Volume (A^3/atom): 25.476
SG: P4/mmm (123)
Raw total energy (eV/atom): -3.968
DOS at the Fermi energy (states/eV/f.u.): 2.892
Energy above the lowest structure with this stoichiometry (eV/atom): 1.141